This record from Alexandria describes a geometry-optimized Mg3Cu5 structure. The functional is PBEsol.

Results
ΔE_f ... -10 meV per atom
Symmetry ... No. 65
Excess energy over the best structure of this formula in the dataset ... 0.0245 eV/atom

a b c (Å): 5.313 5.313 3.922
angles (deg): 90.00 90.00 97.33
Element x y z (fractional)
Mg 0.000 0.000 0.000
Mg 0.267 0.733 0.500
Mg 0.733 0.267 0.500
Cu 0.000 0.500 0.000
Cu 0.248 0.248 0.500
Cu 0.500 0.000 0.000
Cu 0.500 0.500 0.000
Cu 0.752 0.752 0.500



This record from Alexandria describes a geometry-optimized Al2Cu structure. The functional is PBEsol.

Results
ΔE_f ... -11 meV per atom
Symmetry ... No. 139

a b c (Å): 4.497 4.497 4.497
angles (deg): 135.47 135.47 64.80
Element x y z (fractional)
Al 0.166 0.166 0.000
Al 0.834 0.834 0.000
Cu 0.500 0.500 0.000



This record from Alexandria describes a geometry-optimized TlInSiS4 structure. The functional is PBEsol.

Results
Symmetry ... No. 62
ΔE_f (raw) ... -0.591 eV per atom

a b c (Å): 16.475 7.471 11.802
angles (deg): 90.00 90.00 90.00
Element x y z (fractional)
Tl 0.063 0.250 0.141
Tl 0.171 0.250 0.474
Tl 0.329 0.750 0.974
Tl 0.437 0.750 0.641
Tl 0.563 0.250 0.359
Tl 0.671 0.250 0.026
Tl 0.829 0.750 0.526
Tl 0.937 0.750 0.859
In 0.152 0.007 0.779
In 0.152 0.493 0.779
In 0.348 0.507 0.279
In 0.348 0.993 0.279
In 0.652 0.007 0.721
In 0.652 0.493 0.721
In 0.848 0.507 0.221
In 0.848 0.993 0.221
Si 0.017 0.750 0.318
Si 0.168 0.750 0.208
Si 0.332 0.250 0.708
Si 0.483 0.250 0.818
Si 0.517 0.750 0.182
Si 0.668 0.750 0.292
Si 0.832 0.250 0.792
Si 0.983 0.250 0.682
S 0.043 0.011 0.634
S 0.043 0.489 0.634
S 0.047 0.750 0.139
S 0.138 0.750 0.386
S 0.142 0.750 0.901
S 0.158 0.250 0.914
S 0.227 0.513 0.151
S 0.227 0.987 0.151
S 0.273 0.013 0.651
S 0.273 0.487 0.651
S 0.342 0.750 0.414
S 0.358 0.250 0.401
S 0.362 0.250 0.886
S 0.453 0.250 0.639
S 0.457 0.511 0.134
S 0.457 0.989 0.134
S 0.543 0.011 0.866
S 0.543 0.489 0.866
S 0.547 0.750 0.361
S 0.638 0.750 0.114
S 0.642 0.750 0.599
S 0.658 0.250 0.586
S 0.727 0.513 0.349
S 0.727 0.987 0.349
S 0.773 0.013 0.849
S 0.773 0.487 0.849
S 0.842 0.750 0.086
S 0.858 0.250 0.099
S 0.862 0.250 0.614
S 0.953 0.250 0.861
S 0.957 0.511 0.366
S 0.957 0.989 0.366



no.,electronic total energy (Ry per atom)
1,-0.247
2,-0.307
3,-0.347